[1]
Compound: CsNpFe2S4
Source: the Alexandria database
Functional: PBE
Structure: relaxed

The calculated volume is 30.14 Å³ per atom. The uncorrected formation energy is -0.528 eV/atom.

The space group is I222 (No. 23) and the conventional cell measures 6.292, 8.354 and 9.176 Å, with angles of 90.00, 90.00 and 90.00 degrees. The inequivalent atoms are Cs at (0.000, 0.000, 0.000), Np at (0.000, 0.000, 0.500), Fe at (0.000, 0.500, 0.129) and S at (0.239, 0.171, 0.331).



[2]
Compound: Mg11Hg9Pd4
Source: the Alexandria database
Functional: PBE
Structure: relaxed

The calculated volume is 19.85 Å³ per atom. The value obtained for the formation energy from the elements is -0.38 eV per atom.

The space group is Cmmm (No. 65) and the conventional cell measures 13.684, 20.873 and 3.336 Å, with angles of 90.00, 90.00 and 90.00 degrees. The inequivalent atoms are Mg at (0.000, 0.000, 0.000), Mg at (0.000, 0.162, 0.000), Mg at (0.000, 0.367, 0.000), Mg at (0.203, 0.500, 0.000), Mg at (0.242, 0.171, 0.000), Hg at (0.000, 0.500, 0.500), Hg at (0.113, 0.260, 0.500), Hg at (0.138, 0.076, 0.500) and Pd at (0.148, 0.402, 0.500).



[3]
Compound: Pm2Be3GaAu4
Source: the Alexandria database
Functional: PBE
Structure: relaxed

The calculated volume is 18.01 Å³ per atom. The value obtained for the formation energy from the elements is -0.50 eV per atom.

The space group is P-4m2 (No. 115) and the conventional cell measures 4.358, 4.358 and 9.486 Å, with angles of 90.00, 90.00 and 90.00 degrees. The inequivalent atoms are Pm at (0.000, 0.500, 0.248), Be at (0.000, 0.000, 0.000), Be at (0.000, 0.500, 0.612), Ga at (0.500, 0.500, 0.000), Au at (0.000, 0.000, 0.500), Au at (0.000, 0.500, 0.858) and Au at (0.500, 0.500, 0.500).



[4]
Compound: Rb2ScU2Te6
Source: the Alexandria database
Functional: PBE
Structure: relaxed

The calculated volume is 39.81 Å³ per atom. The uncorrected formation energy is -0.947 eV/atom.

The space group is C2/m (No. 12) and the conventional cell measures 7.591, 13.104 and 9.180 Å, with angles of 90.00, 106.45 and 90.00 degrees. The inequivalent atoms are Rb at (0.000, 0.169, 0.000), Sc at (0.000, 0.000, 0.500), U at (0.000, 0.332, 0.500), Te at (0.229, 0.160, 0.696) and Te at (0.243, 0.500, 0.694).